SrAc2PrSe4 (PBE, relaxed); symmetry = P2/m, No. 10; formation energy (no corrections) = -1.888 eV/atom; magnetization = 0.00 μB per cell; final energy = -5.46 eV/atom
1.0
4.3862 0.0000 0.0000
0.0000 7.6168 -0.1619
0.0000 2.6720 7.1770
Pr Se Ac Sr
1 4 2 1
Cartesian
0.0000 5.1444 3.5076
0.0001 7.6573 5.2690
2.1931 3.9746 5.3097
4.3862 2.6315 1.7461
2.1932 6.3142 1.7053
2.1931 1.3360 3.5885
0.0000 2.6720 7.1770
2.1931 3.8084 -0.0809

Sr3Ac2PrSe6 (PBE, relaxed); symmetry = C2/m, No. 12; formation energy (no corrections) = -1.933 eV/atom; magnetization = 0.00 μB per cell; final energy = -5.18 eV/atom
1.0
-4.2271 -0.1616 -1.1856
-2.2316 -2.3405 8.2756
1.7311 9.7580 0.6376
Ac Sr Se Pr
2 3 6 1
Cartesian
-3.8758 4.8641 5.0166
-0.8518 2.3918 2.7110
-1.9884 1.2682 6.9166
-3.2294 -1.2511 3.5450
-2.7393 5.9877 0.8111
-2.3150 4.3187 7.6655
-2.4126 2.9371 0.0621
-1.1831 5.4678 3.4729
-3.0409 8.9776 1.4791
-3.5446 1.7881 4.2547
-1.6867 -1.7218 6.2485
-2.1136 -0.0808 -0.5928

AcTb3Pr4Se8 (PBE, relaxed); symmetry = R-3m, No. 166; formation energy (no corrections) = -1.802 eV/atom; magnetization = 0.00 μB per cell; final energy = -5.86 eV/atom
1.0
-5.5330 5.0962 -3.8274
-4.7648 0.1076 7.0313
8.1462 2.1707 0.4197
Se Pr Ac Tb
8 4 1 3
Cartesian
-3.6312 4.9354 2.5149
-0.8066 2.4744 4.4607
0.4504 5.9702 2.8215
1.4796 2.4391 1.1087
-5.2637 3.8558 -1.0391
-2.6020 1.4043 0.8021
3.1121 3.5186 4.6627
-1.3450 4.9000 -0.8371
4.0731 1.0853 0.2099
1.3066 3.6334 -1.7039
0.0000 0.0000 0.0000
-2.7665 2.5481 -1.9137
-2.3824 0.0538 3.5157
-1.0758 3.6872 1.8118
-5.1489 2.6019 1.6020
1.6907 1.1391 3.7255

Ac3Tb3PrSe8 (PBE, relaxed); symmetry = R-3m, No. 166; formation energy (no corrections) = -1.865 eV/atom; magnetization = 0.00 μB per cell; final energy = -5.79 eV/atom
1.0
-4.0075 2.9945 -6.7903
-3.5729 -6.0365 4.6846
0.5974 8.0020 3.1763
Tb Se Ac Pr
3 8 3 1
Cartesian
-1.7051 5.4982 -1.8070
-3.4915 2.4800 0.5353
-1.4877 0.9828 3.9304
-4.6073 1.3733 -1.9132
-4.2631 5.0978 -0.4739
-2.3756 3.5868 2.9838
-2.9012 4.2547 -4.1506
-4.0818 0.7054 5.2212
-0.9876 2.8248 -0.9083
-5.9954 2.1353 1.9789
-2.7199 -0.1377 1.5445
-3.7902 -1.5210 -1.0528
0.0000 0.0000 0.0000
-1.7864 -3.0182 2.3423
0.2987 4.0010 1.5881

Ac2TbPrSe5 (PBE, relaxed); symmetry = P4/mmm, No. 123; formation energy (no corrections) = -1.482 eV/atom; magnetization = 0.00 μB per cell; final energy = -5.38 eV/atom
1.0
5.1723 0.0000 0.0000
0.0000 5.1723 0.0000
0.0000 0.0000 11.1360
Pr Tb Se Ac
1 1 5 2
Cartesian
0.0000 0.0000 0.0000
0.0000 0.0000 5.5680
0.0000 2.5861 5.5680
0.0000 0.0000 8.3589
2.5861 2.5861 0.0000
0.0000 0.0000 2.7771
2.5861 0.0000 5.5680
2.5861 2.5861 7.9094
2.5861 2.5861 3.2266

AcTbPrSe3 (PBE, relaxed); symmetry = P2_1/m, No. 11; formation energy (no corrections) = -1.799 eV/atom; magnetization = 0.00 μB per cell; final energy = -5.79 eV/atom
1.0
4.2035 0.0000 0.0000
0.0000 7.4139 0.1895
0.0000 -2.7498 10.7146
Ac Tb Se Pr
2 2 6 2
Cartesian
3.1526 2.9727 7.5596
1.0509 1.6914 3.3444
1.0509 -0.8385 6.7726
3.1526 5.5026 4.1314
1.0509 4.7248 9.1808
3.1526 3.6299 1.9199
3.1526 -0.0607 1.7232
1.0509 1.0342 8.9841
1.0509 4.0588 5.4561
3.1526 0.6053 5.4479
3.1526 -0.8447 10.1489
1.0509 5.5088 0.7551

AcTbPr2Se4 (PBE, relaxed); symmetry = P2/m, No. 10; formation energy (no corrections) = -1.811 eV/atom; magnetization = 0.00 μB per cell; final energy = -5.84 eV/atom
1.0
-2.7785 1.1312 -2.9603
-4.4971 -5.4179 2.1505
-4.6098 2.6638 5.3445
Ac Se Pr Tb
1 4 2 1
Cartesian
-3.6378 -2.1433 -0.4049
-5.9497 -2.7477 1.5340
-5.9357 1.1248 3.0008
-5.1113 0.4911 -1.0153
-6.7740 -2.1140 5.5501
-4.6098 2.6638 5.3445
-3.6941 1.8975 1.1921
-4.5534 -1.3770 3.7475

Ac2PrTe2Se2 (PBE, relaxed); symmetry = I4/mmm, No. 139; formation energy (no corrections) = -1.450 eV/atom; magnetization = 0.31 μB per cell; final energy = -5.20 eV/atom
1.0
5.5270 0.0000 0.0000
0.0000 5.5270 0.0000
-2.7635 -2.7635 8.3796
Se Pr Ac Te
2 1 2 2
Cartesian
2.7635 0.0000 0.0000
0.0000 2.7635 0.0000
0.0000 0.0000 0.0000
2.7635 2.7635 2.0176
0.0000 0.0000 6.3620
0.0000 0.0000 3.1149
2.7635 2.7635 5.2647

AcPrTeSe (PBE, relaxed); symmetry = F-43m, No. 216; formation energy (no corrections) = -1.470 eV/atom; ΔE to the lowest computed polymorph = 195 meV per atom; magnetization = 0.00 μB per cell; final energy = -5.35 eV/atom
1.0
5.4986 0.0000 0.0000
2.7493 4.7620 0.0000
2.7493 1.5873 4.4896
Pr Ac Se Te
1 1 1 1
Cartesian
0.0000 0.0000 0.0000
5.4986 3.1746 2.2448
2.7493 1.5873 1.1224
8.2480 4.7620 3.3672

AcPrTeSe (PBE, relaxed); symmetry = R3m, No. 160; formation energy (no corrections) = -1.665 eV/atom; ΔE to the lowest computed polymorph = 0 meV per atom; magnetization = 0.00 μB per cell; final energy = -5.54 eV/atom
1.0
-2.7557 -0.3952 3.5171
0.0005 -3.7654 2.4375
4.3061 1.4716 6.3995
Te Se Pr Ac
1 1 1 1
Cartesian
1.1034 -2.0495 9.2152
0.4524 -0.6369 3.1432
0.6238 -1.4275 6.0490
-2.6085 -4.0804 6.0786

AcPrTe2Se (PBE, relaxed); symmetry = P4/nmm, No. 129; formation energy (no corrections) = -1.533 eV/atom; magnetization = 0.00 μB per cell; final energy = -5.26 eV/atom
1.0
4.5803 0.0000 0.0000
0.0000 4.5803 0.0000
0.0000 0.0000 16.2299
Se Te Ac Pr
2 4 2 2
Cartesian
0.0000 0.0000 8.1149
2.2902 2.2902 8.1149
2.2902 0.0000 4.7128
0.0000 2.2902 11.5171
2.2902 0.0000 14.5126
0.0000 2.2902 1.7173
2.2902 0.0000 10.2444
0.0000 2.2902 5.9855
0.0000 2.2902 14.6754
2.2902 0.0000 1.5545

Ac2Pr2Te2Se3 (PBE, relaxed); symmetry = I4/mmm, No. 139; formation energy (no corrections) = -1.544 eV/atom; magnetization = 0.00 μB per cell; final energy = -5.38 eV/atom
1.0
-2.1647 4.3270 -3.3416
-5.3279 -2.4756 0.2457
1.9933 3.5326 8.4566
Se Ac Te Pr
3 2 2 2
Cartesian
0.0000 0.0000 0.0000
-1.9588 4.3927 1.7836
-3.5404 0.9914 3.5772
-0.6778 1.7238 2.6713
-4.8214 3.6602 2.6895
-4.1108 1.8529 -0.1111
-1.3884 3.5311 5.4719
-2.6639 -1.2378 0.1228
-1.0823 2.1635 -1.6708

Ac2Pr3ThSe6 (PBE, relaxed); symmetry = C2/m, No. 12; formation energy (no corrections) = -1.782 eV/atom; magnetization = 0.00 μB per cell; final energy = -6.02 eV/atom
1.0
4.3133 0.0000 0.0000
0.0000 8.6604 0.2926
-2.1566 -2.5127 9.0790
Ac Se Pr Th
2 6 3 1
Cartesian
2.1566 4.1094 6.3054
0.0000 2.0383 3.0663
2.1566 4.2871 3.1817
0.0000 6.5154 0.3087
0.0000 1.8606 6.1900
2.1566 -0.1773 3.0209
0.0000 6.3251 6.3508
2.1566 -0.3676 9.0630
0.0000 6.4086 3.2914
2.1566 4.3302 0.1463
2.1566 -0.2609 6.0803
2.1566 0.0000 0.0000

AcPr2ThSe4 (PBE, relaxed); symmetry = P2/m, No. 10; formation energy (no corrections) = -1.753 eV/atom; magnetization = 0.00 μB per cell; final energy = -6.13 eV/atom
1.0
-2.3171 3.2246 1.5877
0.8794 -2.7509 6.8707
6.1530 2.9179 3.0538
Pr Ac Se Th
2 1 4 1
Cartesian
1.9179 3.0712 2.3207
6.1529 2.9179 3.0538
-0.7188 0.2368 4.2292
3.6301 3.0943 4.7728
5.2183 0.0786 7.4565
1.0852 0.2972 6.7394
-0.5031 3.3129 4.0557
3.5162 0.0835 4.9622

AcPr4Th3Se8 (PBE, relaxed); symmetry = R-3m, No. 166; formation energy (no corrections) = -1.717 eV/atom; magnetization = 0.00 μB per cell; final energy = -6.30 eV/atom
1.0
8.4872 0.0000 0.0000
0.0000 8.5691 0.0522
-4.2436 -4.2393 6.0044
Pr Se Th Ac
4 8 3 1
Cartesian
4.2436 0.0000 0.0000
2.1218 -2.1197 3.0022
0.0000 0.0000 0.0000
-2.1218 -2.1197 3.0022
0.0000 0.0367 3.0251
4.2436 0.0419 2.9654
2.0767 2.2131 6.0299
2.1669 2.1166 0.0267
4.2436 4.2930 3.0315
-2.0767 2.2131 6.0299
0.0000 4.2878 3.0912
6.3203 2.1166 0.0267
4.2436 4.2845 0.0261
2.1218 2.1649 3.0283
-2.1218 2.1649 3.0283
0.0000 4.2845 0.0261

AcPr2Tl3Se6 (PBE, relaxed); symmetry = C2/m, No. 12; formation energy (no corrections) = -1.395 eV/atom; magnetization = 0.00 μB per cell; final energy = -4.87 eV/atom
1.0
7.6756 0.0011 0.0003
-3.8350 6.6489 0.0003
-1.2807 -2.2176 7.7315
Tl Pr Ac Se
3 2 1 6
Cartesian
-2.5638 4.4361 3.8660
5.1236 -0.0037 3.8660
1.2799 2.2162 3.8660
0.0024 4.4327 0.0003
3.8382 2.2173 0.0003
0.0000 0.0000 0.0000
0.0362 0.0626 6.0875
-1.3151 2.2795 1.6596
3.8749 2.1529 6.0724
2.5237 4.3698 1.6446
2.6317 0.0001 1.6596
-0.0718 4.4322 6.0724

AcPrTl2Se4 (PBE, relaxed); symmetry = P2/m, No. 10; formation energy (no corrections) = -1.403 eV/atom; magnetization = 0.00 μB per cell; final energy = -4.85 eV/atom
1.0
4.4664 0.0000 0.0000
0.0000 7.7417 0.1355
0.0000 -2.7077 7.6803
Tl Se Pr Ac
2 4 1 1
Cartesian
2.2332 -1.3538 3.8402
0.0000 2.5170 3.9079
0.0000 -0.1683 6.0514
0.0000 5.2023 1.7645
2.2332 3.8350 6.1485
2.2332 1.1990 1.6674
0.0000 0.0000 0.0000
2.2332 3.8708 0.0678

Ac3PrTl4Se8 (PBE, relaxed); symmetry = R-3m, No. 166; formation energy (no corrections) = -1.420 eV/atom; magnetization = 0.00 μB per cell; final energy = -4.82 eV/atom
1.0
9.0434 0.0000 0.0000
0.0000 9.3170 0.1843
-4.5217 -4.5175 6.3960
Se Pr Ac Tl
8 1 3 4
Cartesian
-2.3191 2.2307 6.4075
4.5217 0.2518 3.4524
0.0000 4.5477 3.1278
4.5217 4.5342 3.2001
6.8408 2.5687 0.1727
2.3190 2.2307 6.4075
2.2027 2.5687 0.1727
0.0000 0.2652 3.3801
0.0000 4.6585 0.0921
-2.2609 2.3997 3.2901
4.5217 4.6585 0.0921
2.2609 2.3997 3.2901
2.2609 -2.2588 3.1980
0.0000 0.0000 0.0000
-2.2609 -2.2588 3.1980
4.5217 0.0000 0.0000

Ac2PrTl3Se6 (PBE, relaxed); symmetry = C2/m, No. 12; formation energy (no corrections) = -1.416 eV/atom; magnetization = 0.00 μB per cell; final energy = -4.83 eV/atom
1.0
7.7989 0.0002 0.0010
-3.8974 6.7552 0.0010
-1.3004 -2.2517 7.7157
Se Tl Ac Pr
6 3 2 1
Cartesian
-0.0368 -0.0638 6.0415
2.5248 0.0007 1.6602
0.0763 4.5031 6.0576
2.6379 4.5675 1.6763
-1.2612 2.1872 1.6602
3.8623 2.3165 6.0576
1.3005 2.2519 3.8589
-2.6010 4.5052 3.8589
5.2021 -0.0014 3.8589
0.0012 4.5036 0.0010
3.9003 2.2518 0.0010
0.0000 0.0000 0.0000

AcPr2TmSe4 (PBE, relaxed); symmetry = P2/m, No. 10; formation energy (no corrections) = -1.777 eV/atom; magnetization = 0.00 μB per cell; final energy = -5.79 eV/atom
1.0
4.1742 0.0000 0.0000
0.0000 7.5598 0.2436
0.0000 -2.5268 6.8664
Se Pr Ac Tm
4 2 1 1
Cartesian
2.0871 3.6387 5.3362
0.0000 4.9106 1.7967
2.0871 1.3943 1.7738
0.0000 0.1224 5.3132
0.0000 2.5165 3.5550
2.0871 -1.2634 3.4332
0.0000 0.0000 0.0000
2.0871 3.7799 0.1218

AcPrTm2Se4 (PBE, relaxed); symmetry = P2/m, No. 10; formation energy (no corrections) = -1.761 eV/atom; magnetization = 0.00 μB per cell; final energy = -5.73 eV/atom
1.0
-1.2259 -3.6867 -1.2092
-0.8405 -2.1090 7.2825
-6.6131 1.5546 1.9648
Tm Se Ac Pr
2 4 1 1
Cartesian
-6.6131 1.5546 1.9648
-3.9195 -1.0661 0.3778
-3.1603 -3.7348 0.8984
-2.8804 -3.1065 5.5453
-5.5193 -0.5064 7.1397
-5.7992 -1.1347 2.4928
-1.0332 -2.8979 3.0367
-3.7269 -0.2772 4.6236

AcPr2YSe6 (PBE, relaxed); symmetry = R3, No. 146; formation energy (no corrections) = -1.869 eV/atom; magnetization = 0.00 μB per cell; final energy = -5.97 eV/atom
1.0
7.5575 0.0001 0.0008
3.7788 6.5447 0.0008
3.7790 2.1823 6.6623
Pr Ac Se Y
2 1 6 1
Cartesian
7.5579 4.3635 2.8991
3.7787 2.1825 6.3658
11.3364 6.5451 3.8122
8.7515 2.5432 5.0183
6.1042 6.6431 1.6660
10.2596 4.4818 1.6671
8.5369 6.3081 5.0180
6.3096 1.9648 1.6662
5.3843 4.2404 5.0184
3.7790 2.1815 0.2889